A relaxed TcHRu3 crystal. Source: Alexandria, functional PBE-GGA.

a = 5.168 Å, b = 5.168 Å, c = 5.557 Å
α = 105.44°, β = 105.35°, γ = 115.43°
Positions (direct):
H 0.536 0.259 0.361
H 0.037 0.763 0.366
Ru 0.239 0.216 0.021
Ru 0.746 0.727 0.538
Ru 0.334 0.805 0.706
Ru 0.327 0.795 0.188
Ru 0.247 0.227 0.539
Ru 0.827 0.295 0.188
Tc 0.738 0.715 0.018
Tc 0.835 0.307 0.708

density of states at the Fermi level: 3.0 states/eV/f.u.
raw total energy: -8.3336 eV per atom